A.
# AgOs2Br

AgOs2Br after structural relaxation (PBE, the Alexandria database).

```
data_AgOs2Br
_cell_length_a 4.600
_cell_length_b 4.600
_cell_length_c 3.058
_cell_angle_alpha 90.00
_cell_angle_beta 90.00
_cell_angle_gamma 90.00
_space_group_name_H-M_alt 'P 1'
_space_group_IT_number 1
_space_group_name_Hall 'P 1'
loop_
_atom_site_label
_atom_site_fract_x
_atom_site_fract_y
_atom_site_fract_z
Ag1 0.500 0.000 0.500
Os1 0.500 0.500 0.000
Os2 0.000 0.000 0.000
Br1 0.000 0.500 0.500
```

Its space group is P4/mmm, No. 123.

B.
# AgOs2Br

AgOs2Br after structural relaxation (PBE, the Alexandria database).

```
data_AgOs2Br
_cell_length_a 2.965
_cell_length_b 2.943
_cell_length_c 8.426
_cell_angle_alpha 89.69
_cell_angle_beta 90.00
_cell_angle_gamma 90.00
_space_group_name_H-M_alt 'P 1'
_space_group_IT_number 1
_space_group_name_Hall 'P 1'
loop_
_atom_site_label
_atom_site_fract_x
_atom_site_fract_y
_atom_site_fract_z
Br1 0.500 0.755 0.784
Os1 0.500 0.249 0.217
Os2 0.000 0.751 0.038
Ag1 0.000 0.744 0.462
```

Its space group is Pm, No. 6.

C.
# AgOs2Br

AgOs2Br after structural relaxation (PBE, the Alexandria database).

```
data_AgOs2Br
_cell_length_a 5.735
_cell_length_b 5.735
_cell_length_c 5.735
_cell_angle_alpha 151.02
_cell_angle_beta 129.99
_cell_angle_gamma 58.84
_space_group_name_H-M_alt 'P 1'
_space_group_IT_number 1
_space_group_name_Hall 'P 1'
loop_
_atom_site_label
_atom_site_fract_x
_atom_site_fract_y
_atom_site_fract_z
Os1 0.780 0.280 0.500
Os2 0.988 0.988 0.000
Br1 0.221 0.721 0.500
Ag1 0.512 0.512 0.000
```

Its space group is Imm2, No. 44.

Short version: B is the most stable of them.

A.
# AgOs3Br

AgOs3Br after structural relaxation (PBE, the Alexandria database).

```
data_AgOs3Br
_cell_length_a 4.959
_cell_length_b 4.959
_cell_length_c 4.959
_cell_angle_alpha 90.00
_cell_angle_beta 90.00
_cell_angle_gamma 90.00
_space_group_name_H-M_alt 'P 1'
_space_group_IT_number 1
_space_group_name_Hall 'P 1'
loop_
_atom_site_label
_atom_site_fract_x
_atom_site_fract_y
_atom_site_fract_z
Ag1 0.000 0.000 0.000
Os1 0.000 0.500 0.000
Os2 0.500 0.000 0.000
Os3 0.000 0.000 0.500
Br1 0.500 0.500 0.500
```

Its space group is Pm-3m, No. 221.

B.
# AgOs3Br

AgOs3Br after structural relaxation (PBE, the Alexandria database).

```
data_AgOs3Br
_cell_length_a 4.558
_cell_length_b 4.558
_cell_length_c 4.558
_cell_angle_alpha 90.00
_cell_angle_beta 90.00
_cell_angle_gamma 90.00
_space_group_name_H-M_alt 'P 1'
_space_group_IT_number 1
_space_group_name_Hall 'P 1'
loop_
_atom_site_label
_atom_site_fract_x
_atom_site_fract_y
_atom_site_fract_z
Os1 0.500 0.000 0.000
Os2 0.000 0.000 0.500
Os3 0.000 0.500 0.000
Ag1 0.500 0.500 0.500
Br1 0.000 0.000 0.000
```

Its space group is Pm-3m, No. 221.

Short version: B is the most stable of them.

A.
# AgPBr4

AgPBr4 after structural relaxation (PBE, the Alexandria database).

```
data_AgPBr4
_cell_length_a 6.917
_cell_length_b 10.262
_cell_length_c 14.394
_cell_angle_alpha 90.00
_cell_angle_beta 90.00
_cell_angle_gamma 109.37
_space_group_name_H-M_alt 'P 1'
_space_group_IT_number 1
_space_group_name_Hall 'P 1'
loop_
_atom_site_label
_atom_site_fract_x
_atom_site_fract_y
_atom_site_fract_z
Br1 0.598 0.204 0.029
Br2 0.051 0.103 0.863
Br3 0.234 0.030 0.364
Br4 0.766 0.970 0.636
Br5 0.902 0.296 0.529
Br6 0.098 0.704 0.471
Br7 0.356 0.766 0.254
Br8 0.266 0.470 0.864
Br9 0.144 0.734 0.754
Br10 0.949 0.897 0.137
Br11 0.856 0.266 0.246
Br12 0.644 0.234 0.746
Br13 0.449 0.397 0.363
Br14 0.734 0.530 0.136
Br15 0.551 0.603 0.637
Br16 0.402 0.796 0.971
P1 0.407 0.689 0.819
P2 0.093 0.811 0.319
P3 0.593 0.311 0.181
P4 0.907 0.189 0.681
Ag1 0.719 0.501 0.497
Ag2 0.781 0.999 0.997
Ag3 0.219 0.001 0.003
Ag4 0.281 0.499 0.503
```

Its space group is P2_1/c, No. 14.

B.
# AgPBr4

AgPBr4 after structural relaxation (PBE, the Alexandria database).

```
data_AgPBr4
_cell_length_a 6.292
_cell_length_b 6.292
_cell_length_c 6.292
_cell_angle_alpha 60.00
_cell_angle_beta 60.00
_cell_angle_gamma 60.00
_space_group_name_H-M_alt 'P 1'
_space_group_IT_number 1
_space_group_name_Hall 'P 1'
loop_
_atom_site_label
_atom_site_fract_x
_atom_site_fract_y
_atom_site_fract_z
Br1 0.876 0.375 0.375
Br2 0.375 0.375 0.375
Br3 0.375 0.876 0.375
Br4 0.375 0.375 0.876
P1 0.750 0.750 0.750
Ag1 0.000 0.000 0.000
```

Its space group is F-43m, No. 216.

Short version: A is the most stable of them.

A.
# Ag2PBr6

Ag2PBr6 after structural relaxation (PBE, the Alexandria database).

```
data_Ag2PBr6
_cell_length_a 6.980
_cell_length_b 10.746
_cell_length_c 10.746
_cell_angle_alpha 88.36
_cell_angle_beta 73.10
_cell_angle_gamma 73.10
_space_group_name_H-M_alt 'P 1'
_space_group_IT_number 1
_space_group_name_Hall 'P 1'
loop_
_atom_site_label
_atom_site_fract_x
_atom_site_fract_y
_atom_site_fract_z
Br1 0.016 0.768 0.954
Br2 0.984 0.232 0.046
Br3 0.484 0.046 0.232
Br4 0.576 0.685 0.200
Br5 0.649 0.570 0.809
Br6 0.076 0.200 0.685
Br7 0.516 0.954 0.768
Br8 0.924 0.800 0.315
Br9 0.351 0.430 0.191
Br10 0.424 0.315 0.800
Br11 0.149 0.809 0.570
Br12 0.851 0.191 0.430
P1 0.250 0.167 0.833
P2 0.750 0.833 0.167
Ag1 0.632 0.281 0.277
Ag2 0.868 0.723 0.719
Ag3 0.368 0.719 0.723
Ag4 0.132 0.277 0.281
```

Its space group is C2/c, No. 15.

B.
# Ag2PBr6

Ag2PBr6 after structural relaxation (PBE, the Alexandria database).

```
data_Ag2PBr6
_cell_length_a 6.713
_cell_length_b 6.557
_cell_length_c 11.750
_cell_angle_alpha 90.00
_cell_angle_beta 89.77
_cell_angle_gamma 90.00
_space_group_name_H-M_alt 'P 1'
_space_group_IT_number 1
_space_group_name_Hall 'P 1'
loop_
_atom_site_label
_atom_site_fract_x
_atom_site_fract_y
_atom_site_fract_z
Br1 0.662 0.274 0.844
Br2 0.300 0.763 0.499
Br3 0.700 0.237 0.501
Br4 0.338 0.726 0.156
Br5 0.839 0.778 0.342
Br6 0.162 0.226 0.344
Br7 0.661 0.278 0.158
Br8 0.838 0.774 0.656
Br9 0.161 0.222 0.658
Br10 0.339 0.722 0.842
Br11 0.800 0.737 0.999
Br12 0.200 0.263 0.001
P1 0.500 0.500 0.000
P2 0.000 0.000 0.500
Ag1 0.000 0.499 0.827
Ag2 0.500 0.999 0.673
Ag3 0.500 0.001 0.327
Ag4 0.000 0.501 0.173
```

Its space group is P2_1/c, No. 14.

Short version: A is the most stable of them.